(1)
Entry from Alexandria via LeMat-Bulk: Ca3Ge2P4 after structural relaxation (GGA-PBE).

```
Ca3Ge2P4
1.0
17.566 0.000 0.000
0.000 7.084 0.000
0.000 2.647 6.637
P Ca Ge
16 12 8
Direct
0.441 0.752 0.004
0.315 0.277 0.034
0.185 0.777 0.034
0.059 0.252 0.004
0.303 0.772 0.513
0.697 0.228 0.487
0.934 0.246 0.498
0.434 0.254 0.502
0.803 0.728 0.487
0.197 0.272 0.513
0.066 0.754 0.502
0.685 0.723 0.966
0.559 0.248 0.996
0.815 0.223 0.966
0.941 0.748 0.996
0.566 0.746 0.498
0.440 0.512 0.743
0.940 0.504 0.738
0.940 0.988 0.257
0.317 0.012 0.785
0.440 0.996 0.262
0.060 0.012 0.743
0.183 0.512 0.785
0.683 0.988 0.215
0.060 0.496 0.262
0.560 0.488 0.257
0.560 0.004 0.738
0.817 0.488 0.215
0.125 0.970 0.209
0.758 0.915 0.681
0.875 0.030 0.791
0.742 0.415 0.681
0.625 0.530 0.791
0.258 0.585 0.319
0.242 0.085 0.319
0.375 0.470 0.209
```

Values from the calculation:
DFT formation energy (meV per atom): -795
Calculated volume (Å³/cell): 825.9
SG: P2_1/c, No. 14
Energy above the lowest structure with this stoichiometry (meV/atom): 0.0
Final energy (eV/atom): -4.893
Total magnetization (Bohr magnetons per cell): 0.0



(2)
Entry from Alexandria via LeMat-Bulk: Ca3Ge2P4 after structural relaxation (GGA-PBE).

```
Ca3Ge2P4
1.0
7.497 0.085 -0.357
-0.256 6.923 -3.726
0.181 -0.030 8.235
P Ca Ge
8 6 4
Direct
0.672 0.183 0.544
0.172 0.361 0.544
0.004 0.817 0.092
0.996 0.183 0.908
0.328 0.817 0.456
0.496 0.725 0.908
0.504 0.275 0.092
0.828 0.639 0.456
0.250 0.491 0.000
0.364 0.032 0.246
0.864 0.215 0.246
0.750 0.509 0.000
0.136 0.785 0.754
0.636 0.968 0.754
0.485 0.453 0.626
0.015 0.827 0.374
0.515 0.547 0.374
0.985 0.173 0.626
```

Values from the calculation:
DFT formation energy (meV per atom): -681
Calculated volume (Å³/cell): 427.1
SG: C2/c, No. 15
Energy above the lowest structure with this stoichiometry (meV/atom): 114.9
Final energy (eV/atom): -4.778
Total magnetization (Bohr magnetons per cell): 0.0



(3)
Entry from Alexandria via LeMat-Bulk: Ca3GeP4 after structural relaxation (GGA-PBE).

```
Ca3GeP4
1.0
-2.259 1.896 -7.297
-5.753 -7.284 -0.112
-7.265 5.681 3.726
P Ca Ge
16 12 4
Direct
0.814 0.222 0.750
0.314 0.278 0.750
0.626 0.540 0.963
0.874 0.040 0.463
0.032 0.387 0.250
0.126 0.960 0.963
0.126 0.960 0.537
0.468 0.887 0.750
0.968 0.613 0.750
0.874 0.040 0.037
0.532 0.113 0.250
0.186 0.778 0.250
0.374 0.460 0.463
0.374 0.460 0.037
0.626 0.540 0.537
0.686 0.722 0.250
0.555 0.191 0.949
0.445 0.809 0.449
0.445 0.809 0.051
0.338 0.584 0.750
0.945 0.691 0.051
0.055 0.309 0.949
0.162 0.084 0.250
0.838 0.916 0.750
0.945 0.691 0.449
0.662 0.416 0.250
0.555 0.191 0.551
0.055 0.309 0.551
0.735 0.458 0.750
0.765 0.958 0.250
0.235 0.042 0.750
0.265 0.542 0.250
```

Values from the calculation:
DFT formation energy (meV per atom): -771
Calculated volume (Å³/cell): 726.7
SG: Pnma, No. 62
Final energy (eV/atom): -4.803
Total magnetization (Bohr magnetons per cell): 0.0



(4)
Entry from Alexandria via LeMat-Bulk: Ca8Ge2P after structural relaxation (GGA-PBE).

```
Ca8Ge2P
1.0
-0.621 1.330 4.695
-4.131 -5.646 1.053
8.963 -4.242 -0.190
Ca Ge P
8 2 1
Direct
0.657 0.971 0.313
0.781 0.680 0.562
0.592 0.432 0.183
0.219 0.320 0.438
0.968 0.206 0.935
0.032 0.794 0.065
0.343 0.029 0.687
0.408 0.568 0.817
0.190 0.733 0.380
0.810 0.267 0.620
0.500 0.000 0.000
```

Values from the calculation:
DFT formation energy (meV per atom): -475
Calculated volume (Å³/cell): 327.9
SG: C2/m, No. 12
Final energy (eV/atom): -3.262
Total magnetization (Bohr magnetons per cell): 0.0